# PBE Ac4OsRuI2, relaxed
data_Ac4OsRuI2
_cell_length_a 4.381
_cell_length_b 7.592
_cell_length_c 8.925
_cell_angle_alpha 106.45
_cell_angle_beta 90.00
_cell_angle_gamma 90.00
_symmetry_space_group_name_H-M 'P 1'
_symmetry_Int_Tables_number 1
loop_
_symmetry_equiv_pos_as_xyz
'x,y,z'
loop_
_atom_site_label
_atom_site_type_symbol
_atom_site_fract_x
_atom_site_fract_y
_atom_site_fract_z
_atom_site_occupancy
Ac1 Ac 0.500 0.228 0.183 1
Ac2 Ac 0.500 0.772 0.817 1
Ac3 Ac 0.000 0.272 0.817 1
Ac4 Ac 0.000 0.728 0.183 1
Os1 Os 0.500 0.500 0.000 1
Ru1 Ru 0.000 0.000 0.000 1
I1 I 0.500 0.000 0.500 1
I2 I 0.000 0.500 0.500 1
# * density of states at the Fermi level: 4.28 states/eV per cell
# * formation energy from raw total energies: -0.621 eV/atom
# * symmetry: P2/m
# * raw total energy: -5.63 eV per atom